Record 1
Here is a relaxed structure of InFe2Si from the Alexandria database. Energies are from PBE.

- spin magnetization (μB per atom) = 0.994
- ΔE_f (raw) (eV/atom) = 0.45
- VASP energy (eV/atom) = -5.8258

Unit cell a=8.885 b=8.885 c=8.885 alpha=154.27 beta=154.27 gamma=36.70
Element x y z (fractional)
In1 0.000 0.000 0.000
In2 0.750 0.250 0.500
Fe1 0.218 0.625 0.093
Fe2 0.375 0.468 0.593
Fe3 0.532 0.125 0.907
Fe4 0.875 0.782 0.407
Si1 0.250 0.750 0.500
Si2 0.500 0.500 0.000

***

Record 2
Here is a relaxed structure of Tb5Ce2Ru4 from the Alexandria database. Energies are from PBE.

- calculated formation energy (eV per formula unit) = -2.67
- spin magnetization (μB per atom) = 0.000
- VASP energy (eV/atom) = -6.7989

Unit cell a=9.060 b=9.060 c=6.860 alpha=90.99 beta=90.99 gamma=27.97
Element x y z (fractional)
Tb1 0.000 0.000 0.000
Tb2 0.275 0.275 0.292
Tb3 0.366 0.366 0.845
Tb4 0.634 0.634 0.155
Tb5 0.725 0.725 0.708
Ce1 0.080 0.080 0.553
Ce2 0.920 0.920 0.447
Ru1 0.179 0.179 0.927
Ru2 0.445 0.445 0.245
Ru3 0.555 0.555 0.755
Ru4 0.821 0.821 0.073

***

Record 3
Here is a relaxed structure of Li2MgCd5 from the Alexandria database. Energies are from PBE.

- calculated formation energy (eV per formula unit) = -1.41
- spin magnetization (μB per atom) = 0.000
- VASP energy (eV/atom) = -1.4262

Unit cell a=7.771 b=7.771 c=7.771 alpha=144.37 beta=144.37 gamma=51.27
Element x y z (fractional)
Li1 0.250 0.250 0.000
Li2 0.750 0.750 0.000
Mg1 0.000 0.000 0.000
Cd1 0.138 0.638 0.500
Cd2 0.362 0.862 0.500
Cd3 0.500 0.500 0.000
Cd4 0.638 0.138 0.500
Cd5 0.862 0.362 0.500

***

Record 4
Here is a relaxed structure of PrTmSc4 from the Alexandria database. Energies are from PBE.

- calculated formation energy (eV per formula unit) = 1.43
- spin magnetization (μB per atom) = 1.016
- VASP energy (eV/atom) = -5.5246

Unit cell a=6.301 b=6.301 c=6.301 alpha=60.00 beta=60.00 gamma=60.00
Element x y z (fractional)
Pr1 0.000 0.000 0.000
Tm1 0.750 0.750 0.750
Sc1 0.375 0.375 0.375
Sc2 0.375 0.375 0.875
Sc3 0.375 0.875 0.375
Sc4 0.875 0.375 0.375

***

Record 5
Here is a relaxed structure of Pr4ZnAu3 from the Alexandria database. Energies are from PBE.

- calculated formation energy (eV per formula unit) = -5.19
- spin magnetization (μB per atom) = 0.000
- VASP energy (eV/atom) = -4.4269

Unit cell a=3.961 b=4.781 c=11.395 alpha=90.00 beta=90.00 gamma=90.00
Element x y z (fractional)
Pr1 0.000 0.000 0.000
Pr2 0.000 0.500 0.277
Pr3 0.500 0.000 0.499
Pr4 0.500 0.500 0.778
Zn1 0.000 0.000 0.718
Au1 0.000 0.500 0.560
Au2 0.500 0.000 0.225
Au3 0.500 0.500 0.056

***

Record 6
Here is a relaxed structure of KAlHg2F8 from the Alexandria database. Energies are from PBE.

- spin magnetization (μB per atom) = 0.000
- ΔE_f (raw) (eV/atom) = -2.35
- VASP energy (eV/atom) = -4.0539

Unit cell a=5.039 b=5.226 c=7.320 alpha=82.90 beta=86.57 gamma=87.78
Element x y z (fractional)
K1 0.000 0.000 0.000
Al1 0.000 0.000 0.500
Hg1 0.450 0.454 0.258
Hg2 0.550 0.546 0.742
F1 0.131 0.780 0.691
F2 0.179 0.828 0.330
F3 0.286 0.223 0.503
F4 0.406 0.276 0.970
F5 0.594 0.724 0.030
F6 0.714 0.777 0.497
F7 0.821 0.172 0.670
F8 0.869 0.220 0.309